Record 1
Here is a relaxed structure of Ba3Rh2Pb3 from Alexandria. Energies are from PBE.

Computed properties:
- ΔH_f (0 K) (meV/atom) = -399.3

a = 4.8112 Å, b = 6.5767 Å, c = 17.2045 Å
α = 90.00°, β = 90.00°, γ = 111.46°
Element x y z (fractional)
Ba (0.9430, 0.8859, 0.3921)
Ba (0.0570, 0.1141, 0.8921)
Ba (0.9430, 0.8859, 0.1079)
Ba (0.0570, 0.1141, 0.6079)
Ba (0.6505, 0.3011, 0.2500)
Ba (0.3495, 0.6989, 0.7500)
Rh (0.7696, 0.5392, 0.8915)
Rh (0.2304, 0.4608, 0.3915)
Rh (0.7696, 0.5392, 0.6085)
Rh (0.2304, 0.4608, 0.1085)
Pb (0.6622, 0.3244, 0.4624)
Pb (0.3378, 0.6756, 0.9624)
Pb (0.6622, 0.3244, 0.0376)
Pb (0.3378, 0.6756, 0.5376)
Pb (0.3522, 0.7043, 0.2500)
Pb (0.6478, 0.2957, 0.7500)



Record 2
Here is a relaxed structure of BaRh3Pb3 from Alexandria. Energies are from PBE.

Computed properties:
- ΔH_f (0 K) (meV/atom) = -144.3

a = 7.4527 Å, b = 7.4527 Å, c = 9.1892 Å
α = 66.08°, β = 66.08°, γ = 60.00°
Element x y z (fractional)
Ba (0.3444, 0.3444, 0.9669)
Ba (0.6556, 0.6556, 0.0331)
Rh (0.4618, 0.6814, 0.6347)
Rh (0.6814, 0.2220, 0.6347)
Rh (0.2220, 0.4618, 0.6347)
Rh (0.7780, 0.5382, 0.3653)
Rh (0.3186, 0.7780, 0.3653)
Rh (0.5382, 0.3186, 0.3653)
Pb (0.1389, 0.5776, 0.3142)
Pb (0.9694, 0.1389, 0.3142)
Pb (0.5776, 0.9694, 0.3142)
Pb (0.4224, 0.0306, 0.6858)
Pb (0.0306, 0.8611, 0.6858)
Pb (0.8611, 0.4224, 0.6858)



Record 3
Here is a relaxed structure of BaRh4Pb4 from Alexandria. Energies are from PBE.

Computed properties:
- ΔH_f (0 K) (meV/atom) = -91.1

a = 5.4209 Å, b = 9.2201 Å, c = 9.2201 Å
α = 90.00°, β = 90.00°, γ = 90.00°
Element x y z (fractional)
Ba (0.0000, 0.0000, 0.0000)
Ba (0.5000, 0.5000, 0.5000)
Rh (0.5859, 0.8258, 0.3370)
Rh (0.5859, 0.1742, 0.6630)
Rh (0.0859, 0.8370, 0.6742)
Rh (0.9141, 0.3258, 0.8370)
Rh (0.9141, 0.6742, 0.1630)
Rh (0.4141, 0.3370, 0.1742)
Rh (0.4141, 0.6630, 0.8258)
Rh (0.0859, 0.1630, 0.3258)
Pb (0.4150, 0.3566, 0.8769)
Pb (0.9150, 0.6231, 0.8566)
Pb (0.4150, 0.6434, 0.1231)
Pb (0.0850, 0.1434, 0.6231)
Pb (0.5850, 0.8769, 0.6434)
Pb (0.0850, 0.8566, 0.3769)
Pb (0.9150, 0.3769, 0.1434)
Pb (0.5850, 0.1231, 0.3566)



Record 4
Here is a relaxed structure of BaSbRh2Pb2 from Alexandria. Energies are from PBE.

Computed properties:
- ΔE_f (raw) (eV/atom) = -0.2462

a = 5.0073 Å, b = 5.0073 Å, c = 6.8127 Å
α = 90.00°, β = 90.00°, γ = 90.00°
Element x y z (fractional)
Ba (0.0000, 0.0000, 0.5000)
Sb (0.0000, 0.0000, 0.0000)
Rh (0.5000, 0.0000, 0.0000)
Rh (0.0000, 0.5000, 0.0000)
Pb (0.5000, 0.5000, 0.7594)
Pb (0.5000, 0.5000, 0.2406)



Record 5
Here is a relaxed structure of Ba2ScRhPb from Alexandria. Energies are from PBE.

Computed properties:
- ΔH_f (0 K) (meV/atom) = 843.6

a = 6.1128 Å, b = 5.4239 Å, c = 6.1128 Å
α = 90.00°, β = 90.00°, γ = 90.00°
Element x y z (fractional)
Pb (0.0000, 0.5000, 0.0000)
Sc (0.0000, 0.0000, 0.0000)
Rh (0.5000, 0.5000, 0.5000)
Ba (0.0000, 0.0000, 0.5000)
Ba (0.5000, 0.0000, 0.0000)



Record 6
Here is a relaxed structure of Ba2Sn3Rh4Pb from Alexandria. Energies are from PBE.

Computed properties:
- ΔH_f (0 K) (meV/atom) = -525.3

a = 4.7273 Å, b = 4.7273 Å, c = 10.8625 Å
α = 90.00°, β = 90.00°, γ = 90.00°
Element x y z (fractional)
Ba (0.5000, 0.0000, 0.2418)
Ba (0.0000, 0.5000, 0.7582)
Sn (0.0000, 0.0000, 0.5000)
Sn (0.5000, 0.0000, 0.8812)
Sn (0.0000, 0.5000, 0.1188)
Rh (0.5000, 0.5000, 0.0000)
Rh (0.0000, 0.0000, 0.0000)
Rh (0.5000, 0.0000, 0.6313)
Rh (0.0000, 0.5000, 0.3687)
Pb (0.5000, 0.5000, 0.5000)



no.,total magnetic moment (μB/f.u.)
1,0.00
2,0.00
3,0.00
4,0.00
5,2.13
6,0.00